Record 1
Below is an optimized crystal structure of BeCuSiOs, with properties calculated at the GGA-PBE level.

Output
E_tot   -0.2087 Ha/atom
Crystal system   cubic

Cell: 4.0667 4.0667 4.0667 Å, 60.00 60.00 60.00°
Element x y z (fractional)
Be: 0.2500 0.2500 0.2500
Cu: 0.7500 0.7500 0.7500
Os: 0.5000 0.5000 0.5000
Si: 0.0000 0.0000 0.0000

=====

Record 2
Below is an optimized crystal structure of Na2Zn2Ga2IrPt, with properties calculated at the GGA-PBE level.

Output
E_tot   -0.1280 Ha/atom
Crystal system   tetragonal

Cell: 4.4686 4.4686 6.3108 Å, 90.00 90.00 90.00°
Element x y z (fractional)
Ga: 0.5000 0.0000 0.2428
Ga: 0.0000 0.5000 0.7572
Ir: 0.0000 0.0000 0.0000
Na: 0.5000 0.5000 0.0000
Na: 0.0000 0.0000 0.5000
Pt: 0.5000 0.5000 0.5000
Zn: 0.0000 0.5000 0.2467
Zn: 0.5000 0.0000 0.7533

=====

Record 3
Below is an optimized crystal structure of AlHg2Pt, with properties calculated at the GGA-PBE level.

Output
E_tot   -0.0927 Ha/atom
Crystal system   cubic

Cell: 4.7424 4.7424 4.7424 Å, 60.00 60.00 60.00°
Element x y z (fractional)
Al: 0.5000 0.5000 0.5000
Hg: 0.0000 0.0000 0.0000
Hg: 0.7500 0.7500 0.7500
Pt: 0.2500 0.2500 0.2500

=====

Record 4
Below is an optimized crystal structure of Rb2W3Au2, with properties calculated at the GGA-PBE level.

Output
E_tot   -0.2238 Ha/atom
Crystal system   trigonal

Cell: 4.4043 4.4043 11.4771 Å, 78.94 78.94 60.00°
Element x y z (fractional)
Au: 0.9796 0.9796 0.0612
Au: 0.4444 0.4444 0.6667
Rb: 0.2528 0.2528 0.2417
Rb: 0.8346 0.8346 0.4961
W: 0.0624 0.0624 0.8127
W: 0.3661 0.3661 0.9016
W: 0.6850 0.6850 0.9450

=====

Record 5
Below is an optimized crystal structure of TaBe2Zn, with properties calculated at the GGA-PBE level.

Output
E_tot   -0.1749 Ha/atom
Crystal system   cubic

Cell: 4.1571 4.1571 4.1571 Å, 60.00 60.00 60.00°
Element x y z (fractional)
Be: 0.0000 0.0000 0.0000
Be: 0.2500 0.2500 0.2500
Ta: 0.7500 0.7500 0.7500
Zn: 0.5000 0.5000 0.5000

=====

Record 6
Below is an optimized crystal structure of LuCoNiPb, with properties calculated at the GGA-PBE level.

Output
E_tot   -0.1852 Ha/atom
Crystal system   cubic

Cell: 4.6753 4.6753 4.6753 Å, 60.00 60.00 60.00°
Element x y z (fractional)
Co: 0.5000 0.5000 0.5000
Lu: 0.2500 0.2500 0.2500
Ni: 0.7500 0.7500 0.7500
Pb: 0.0000 0.0000 0.0000

=====

Record 7
Below is an optimized crystal structure of Lu2ZrSi, with properties calculated at the GGA-PBE level.

Output
E_tot   -0.2129 Ha/atom
Crystal system   cubic

Cell: 4.9643 4.9643 4.9643 Å, 60.00 60.00 60.00°
Element x y z (fractional)
Lu: 0.0000 0.0000 0.0000
Lu: 0.7500 0.7500 0.7500
Si: 0.5000 0.5000 0.5000
Zr: 0.2500 0.2500 0.2500

=====

Record 8
Below is an optimized crystal structure of Cs5Hg19, with properties calculated at the GGA-PBE level.

Output
E_tot   -0.0229 Ha/atom
Crystal system   tetragonal

Cell: 10.0525 10.0525 10.0525 Å, 107.14 114.24 107.14°
Element x y z (fractional)
Cs: 0.3256 0.4447 0.1191
Cs: 0.8809 0.2066 0.3256
Cs: 0.5000 0.0000 0.5000
Cs: 0.1191 0.7934 0.6744
Cs: 0.6744 0.5553 0.8809
Hg: 0.0000 0.0000 0.0000
Hg: 0.1383 0.7487 0.0450
Hg: 0.4758 0.8182 0.0655
Hg: 0.3895 0.0933 0.1383
Hg: 0.0655 0.5898 0.2474
Hg: 0.7500 0.5000 0.2500
Hg: 0.0450 0.9067 0.2962
Hg: 0.7526 0.8182 0.3424
Hg: 0.2962 0.2513 0.3895
Hg: 0.6576 0.4102 0.4758
Hg: 0.3424 0.5898 0.5242
Hg: 0.7038 0.7487 0.6105
Hg: 0.2474 0.1818 0.6576
Hg: 0.9550 0.0933 0.7038
Hg: 0.2500 0.5000 0.7500
Hg: 0.9345 0.4102 0.7526
Hg: 0.6105 0.9067 0.8617
Hg: 0.5242 0.1818 0.9345
Hg: 0.8617 0.2513 0.9550

=====

Record 9
Below is an optimized crystal structure of Fe4GeAsC2, with properties calculated at the GGA-PBE level.

Output
E_tot   -0.2757 Ha/atom
Crystal system   hexagonal

Cell: 2.9640 2.9640 11.3517 Å, 90.00 90.00 120.00°
Element x y z (fractional)
As: 0.0000 0.0000 0.5000
C: 0.3333 0.6667 0.2503
C: 0.3333 0.6667 0.7497
Fe: 0.0000 0.0000 0.1691
Fe: 0.6667 0.3333 0.3333
Fe: 0.6667 0.3333 0.6667
Fe: 0.0000 0.0000 0.8309
Ge: 0.6667 0.3333 0.0000

=====

Record 10
Below is an optimized crystal structure of YZnPt2, with properties calculated at the GGA-PBE level.

Output
Calculated formation energy   -2.6 eV per formula unit
Crystal system   cubic

Cell: 4.6895 4.6895 4.6895 Å, 60.00 60.00 60.00°
Element x y z (fractional)
Pt: 0.5000 0.5000 0.5000
Pt: 0.7500 0.7500 0.7500
Y: 0.2500 0.2500 0.2500
Zn: 0.0000 0.0000 0.0000

=====

Record 11
Below is an optimized crystal structure of Ir9Pb, with properties calculated at the GGA-PBE level.

Output
E_tot   -0.3031 Ha/atom
Crystal system   orthorhombic

Cell: 2.7772 3.8584 40.9292 Å, 90.00 90.00 90.00°
Element x y z (fractional)
Ir: 0.0000 0.0000 0.0167
Ir: 0.5000 0.5000 0.0502
Ir: 0.0000 0.0000 0.0836
Ir: 0.5000 0.5000 0.1171
Ir: 0.0000 0.0000 0.1502
Ir: 0.5000 0.5000 0.1835
Ir: 0.0000 0.0000 0.2168
Ir: 0.5000 0.5000 0.2502
Ir: 0.0000 0.0000 0.2827
Ir: 0.5000 0.5000 0.7173
Ir: 0.0000 0.0000 0.7498
Ir: 0.5000 0.5000 0.7832
Ir: 0.0000 0.0000 0.8165
Ir: 0.5000 0.5000 0.8498
Ir: 0.0000 0.0000 0.8829
Ir: 0.5000 0.5000 0.9164
Ir: 0.0000 0.0000 0.9498
Ir: 0.5000 0.5000 0.9833
Pb: 0.5000 0.5000 0.3282
Pb: 0.0000 0.0000 0.6718

=====

Record 12
Below is an optimized crystal structure of GdY2Mg3Pd2Au, with properties calculated at the GGA-PBE level.

Output
E_tot   -0.1716 Ha/atom
Crystal system   orthorhombic

Cell: 4.0967 7.4925 7.4925 Å, 119.80 90.00 90.00°
Element x y z (fractional)
Au: 0.5000 0.0002 0.0002
Gd: 0.5000 0.5848 0.5848
Mg: 0.0000 0.7511 0.0011
Mg: 0.0000 0.2481 0.2481
Mg: 0.0000 0.0011 0.7511
Pd: 0.0000 0.6665 0.3335
Pd: 0.0000 0.3335 0.6665
Y: 0.5000 0.4145 0.0002
Y: 0.5000 0.0002 0.4145

=====

Record 13
Below is an optimized crystal structure of GdGeAu, with properties calculated at the GGA-PBE level.

Output
E_tot   -0.1838 Ha/atom
Crystal system   hexagonal

Cell: 7.2063 7.2063 4.2190 Å, 90.00 90.00 120.00°
Element x y z (fractional)
Au: 0.2606 0.0000 0.0000
Au: 0.0000 0.2606 0.0000
Au: 0.7394 0.7394 0.0000
Gd: 0.5875 0.0000 0.5000
Gd: 0.4125 0.4125 0.5000
Gd: 0.0000 0.5875 0.5000
Ge: 0.6667 0.3333 0.0000
Ge: 0.3333 0.6667 0.0000
Ge: 0.0000 0.0000 0.5000

=====

Record 14
Below is an optimized crystal structure of BiBIrAu, with properties calculated at the GGA-PBE level.

Output
E_tot   -0.1684 Ha/atom
Crystal system   cubic

Cell: 4.6361 4.6361 4.6361 Å, 60.00 60.00 60.00°
Element x y z (fractional)
Au: 0.7500 0.7500 0.7500
B: 0.5000 0.5000 0.5000
Bi: 0.2500 0.2500 0.2500
Ir: 0.0000 0.0000 0.0000

=====

Record 15
Below is an optimized crystal structure of DyTmCSe, with properties calculated at the GGA-PBE level.

Output
E_tot   -0.2431 Ha/atom
Crystal system   hexagonal

Cell: 3.7298 3.7298 13.1647 Å, 90.00 90.00 120.00°
Element x y z (fractional)
C: 0.0000 0.0000 0.0015
C: 0.0000 0.0000 0.5015
Dy: 0.3333 0.6667 0.4005
Dy: 0.6667 0.3333 0.9005
Se: 0.6667 0.3333 0.2478
Se: 0.3333 0.6667 0.7478
Tm: 0.3333 0.6667 0.1002
Tm: 0.6667 0.3333 0.6002

=====

Record 16
Below is an optimized crystal structure of GaRe2Pt, with properties calculated at the GGA-PBE level.

Output
E_tot   -0.3027 Ha/atom
Crystal system   cubic

Cell: 4.4053 4.4053 4.4053 Å, 60.00 60.00 60.00°
Element x y z (fractional)
Ga: 0.5000 0.5000 0.5000
Pt: 0.2500 0.2500 0.2500
Re: 0.0000 0.0000 0.0000
Re: 0.7500 0.7500 0.7500

=====

Record 17
Below is an optimized crystal structure of AgAsOsO, with properties calculated at the GGA-PBE level.

Output
E_tot   -0.2019 Ha/atom
Crystal system   tetragonal

Cell: 3.5672 3.5672 9.3644 Å, 90.00 90.00 90.00°
Element x y z (fractional)
Ag: 0.0000 0.0000 0.5000
Ag: 0.5000 0.5000 0.5000
As: 0.5000 0.0000 0.2564
As: 0.0000 0.5000 0.7436
O: 0.0000 0.0000 0.0000
O: 0.5000 0.5000 0.0000
Os: 0.0000 0.5000 0.1337
Os: 0.5000 0.0000 0.8663

=====

Record 18
Below is an optimized crystal structure of Lu2AgSb, with properties calculated at the GGA-PBE level.

Output
E_tot   -0.1480 Ha/atom
Crystal system   cubic

Cell: 5.1885 5.1885 5.1885 Å, 60.00 60.00 60.00°
Element x y z (fractional)
Ag: 0.2500 0.2500 0.2500
Lu: 0.0000 0.0000 0.0000
Lu: 0.7500 0.7500 0.7500
Sb: 0.5000 0.5000 0.5000

=====

Record 19
Below is an optimized crystal structure of HoScCS, with properties calculated at the GGA-PBE level.

Output
E_tot   -0.2696 Ha/atom
Crystal system   hexagonal

Cell: 3.5707 3.5707 12.3988 Å, 90.00 90.00 120.00°
Element x y z (fractional)
C: 0.0000 0.0000 0.0054
C: 0.0000 0.0000 0.5054
Ho: 0.6667 0.3333 0.3975
Ho: 0.3333 0.6667 0.8975
S: 0.3333 0.6667 0.2429
S: 0.6667 0.3333 0.7429
Sc: 0.6667 0.3333 0.1042
Sc: 0.3333 0.6667 0.6042

=====

Record 20
Below is an optimized crystal structure of Fe2CuC, with properties calculated at the GGA-PBE level.

Output
E_tot   -0.2620 Ha/atom
Crystal system   orthorhombic

Cell: 5.1841 6.7497 4.4523 Å, 90.00 90.00 90.00°
Element x y z (fractional)
C: 0.6145 0.7500 0.0836
C: 0.1145 0.7500 0.4164
C: 0.8855 0.2500 0.5836
C: 0.3855 0.2500 0.9164
Cu: 0.0429 0.2500 0.1647
Cu: 0.5429 0.2500 0.3353
Cu: 0.4571 0.7500 0.6647
Cu: 0.9571 0.7500 0.8353
Fe: 0.3275 0.5693 0.1734
Fe: 0.3275 0.9307 0.1734
Fe: 0.8275 0.5693 0.3266
Fe: 0.8275 0.9307 0.3266
Fe: 0.1725 0.0693 0.6734
Fe: 0.1725 0.4307 0.6734
Fe: 0.6725 0.0693 0.8266
Fe: 0.6725 0.4307 0.8266

=====

Record 21
Below is an optimized crystal structure of PmTcNO, with properties calculated at the GGA-PBE level.

Output
E_tot   -0.3173 Ha/atom
Crystal system   orthorhombic

Cell: 5.4994 8.8257 4.7570 Å, 90.00 90.00 90.00°
Element x y z (fractional)
N: 0.3894 0.1407 0.2550
N: 0.8894 0.8593 0.2550
N: 0.1106 0.1407 0.7550
N: 0.6106 0.8593 0.7550
O: 0.5864 0.4084 0.4318
O: 0.0864 0.5916 0.4318
O: 0.9136 0.4084 0.9318
O: 0.4136 0.5916 0.9318
Pm: 0.9866 0.3397 0.4250
Pm: 0.4867 0.6603 0.4250
Pm: 0.5134 0.3397 0.9250
Pm: 0.0134 0.6603 0.9250
Tc: 0.1252 0.0097 0.0905
Tc: 0.6252 0.9903 0.0905
Tc: 0.3748 0.0097 0.5905
Tc: 0.8748 0.9903 0.5905

=====

Record 22
Below is an optimized crystal structure of ZnB4Ir, with properties calculated at the GGA-PBE level.

Output
E_tot   -0.2138 Ha/atom
Crystal system   orthorhombic

Cell: 4.5840 4.5840 4.5840 Å, 141.82 110.58 82.09°
Element x y z (fractional)
B: 0.5933 0.2583 0.3351
B: 0.0768 0.7417 0.3351
B: 0.9232 0.2583 0.6649
B: 0.4067 0.7417 0.6650
Ir: 0.5000 0.5000 0.0000
Zn: 0.0000 0.0000 0.0000

=====

Record 23
Below is an optimized crystal structure of CsBaTl4Pd2, with properties calculated at the GGA-PBE level.

Output
E_tot   -0.1134 Ha/atom
Crystal system   orthorhombic

Cell: 8.5657 6.3691 6.3691 Å, 42.54 90.00 90.00°
Element x y z (fractional)
Ba: 0.5000 0.4447 0.4447
Cs: 0.0000 0.5555 0.5555
Pd: 0.0000 0.2820 0.2820
Pd: 0.5000 0.7230 0.7230
Tl: 0.3062 0.1561 0.1561
Tl: 0.6938 0.1561 0.1561
Tl: 0.1973 0.8414 0.8414
Tl: 0.8027 0.8414 0.8414

=====

Record 24
Below is an optimized crystal structure of KAg2AsSeS3, with properties calculated at the GGA-PBE level.

Output
E_tot   -0.1385 Ha/atom
Crystal system   monoclinic

Cell: 6.4970 6.4970 6.4455 Å, 116.33 116.33 95.64°
Element x y z (fractional)
Ag: 0.7371 0.2506 0.4950
Ag: 0.2506 0.7371 0.4950
As: 0.5099 0.5099 0.0119
K: 0.9945 0.9945 0.9871
S: 0.8400 0.4619 0.0053
S: 0.4619 0.8400 0.0053
S: 0.5484 0.5484 0.3874
Se: 0.1575 0.1575 0.6131

=====

no.,ρ (Mg/m³)
1,10.16
2,9.27
3,13.72
4,9.86
5,8.64
6,11.48
7,9.01
8,9.55
9,7.59
10,12.40
11,14.67
12,6.80
13,11.21
14,14.35
15,8.84
16,17.50
17,10.84
18,9.74
19,6.16
20,7.98
21,7.85
22,9.23
23,9.19
24,4.12